A plane-wave DFT calculation with PBE-GGA was carried out for a relaxed Pr5SmPb4 crystal.

a b c (Å): 5.576 7.399 11.555
angles (deg): 129.47 103.96 90.00
Fractional coordinates of all 10 atoms:
Pr: 0.834 0.162 0.667
Pr: 0.500 0.500 0.000
Pr: 0.167 0.326 0.334
Pr: 0.833 0.674 0.666
Pr: 0.166 0.838 0.333
Pb: 0.991 0.736 0.983
Pb: 0.009 0.264 0.017
Pb: 0.675 0.100 0.349
Pb: 0.325 0.900 0.651
Sm: 0.500 0.000 0.000

## Properties
Energy relative to the elements = -3.94 eV/f.u.
Volume = 349.6 Å³/cell
Spin magnetization = 0.00 μB/atom
Total DFT energy (no corrections) = -47.39 eV for the cell shown

A plane-wave DFT calculation with PBE-GGA was carried out for a relaxed Ge2HPd crystal.

a b c (Å): 4.615 4.615 6.873
angles (deg): 70.38 70.38 90.00
Fractional coordinates of all 8 atoms:
Ge: 0.875 0.782 0.750
Ge: 0.218 0.625 0.250
Ge: 0.375 0.468 0.750
Ge: 0.532 0.125 0.250
H: 0.500 0.500 0.000
H: 0.250 0.750 0.500
Pd: 0.000 0.000 0.000
Pd: 0.750 0.250 0.500

## Properties
Volume = 128.8 Å³/cell
Polymorph energy (0 for the lowest one) = 148 meV per atom
Spin magnetization = 0.00 μB/atom
Total DFT energy (no corrections) = -33.75 eV for the cell shown

A plane-wave DFT calculation with PBE-GGA was carried out for a relaxed Fe3As5 crystal.

a b c (Å): 7.481 7.481 5.173
angles (deg): 90.00 90.00 120.00
Fractional coordinates of all 16 atoms:
As: 0.265 0.265 0.750
As: 0.265 0.000 0.250
As: 0.735 0.735 0.250
As: 0.333 0.667 0.500
As: 0.735 0.000 0.750
As: 0.333 0.667 0.000
As: 0.000 0.265 0.250
As: 0.000 0.735 0.750
As: 0.667 0.333 0.000
As: 0.667 0.333 0.500
Fe: 0.000 0.394 0.750
Fe: 0.606 0.000 0.250
Fe: 0.606 0.606 0.750
Fe: 0.394 0.000 0.750
Fe: 0.000 0.606 0.250
Fe: 0.394 0.394 0.250

## Properties
Energy relative to the elements = 2.18 eV/f.u.
Volume = 250.7 Å³/cell
Polymorph energy (0 for the lowest one) = 110 meV per atom
Spin magnetization = 0.68 μB/atom
Total DFT energy (no corrections) = -92.92 eV for the cell shown

A plane-wave DFT calculation with PBE-GGA was carried out for a relaxed ErTm2Ga6 crystal.

a b c (Å): 4.254 6.888 7.784
angles (deg): 116.26 105.86 90.00
Fractional coordinates of all 9 atoms:
Ga: 0.314 0.507 0.628
Ga: 0.686 0.493 0.372
Ga: 0.314 0.120 0.628
Ga: 0.686 0.880 0.372
Ga: 0.500 0.809 0.000
Ga: 0.500 0.191 0.000
Tm: 0.124 0.124 0.248
Tm: 0.876 0.876 0.752
Er: 0.000 0.500 0.000

## Properties
Energy relative to the elements = -4.09 eV/f.u.
Volume = 194.8 Å³/cell
Polymorph energy (0 for the lowest one) = 143 meV per atom
Spin magnetization = 0.00 μB/atom
Total DFT energy (no corrections) = -35.75 eV for the cell shown

A plane-wave DFT calculation with PBE-GGA was carried out for a relaxed HoO crystal.

a b c (Å): 3.973 3.973 4.803
angles (deg): 90.00 90.00 120.00
Fractional coordinates of all 4 atoms:
O: 0.667 0.333 0.750
O: 0.333 0.667 0.250
Ho: 0.667 0.333 0.250
Ho: 0.333 0.667 0.750

## Properties
Volume = 65.6 Å³/cell
Formation energy (no corrections) = -5.56 eV/f.u.
Spin magnetization = 0.11 μB/atom
Total DFT energy (no corrections) = -30.18 eV for the cell shown

A plane-wave DFT calculation with PBE-GGA was carried out for a relaxed KPm2PbO5 crystal.

a b c (Å): 6.872 6.872 8.022
angles (deg): 115.36 115.36 90.00
Fractional coordinates of all 18 atoms:
Pb: 0.250 0.750 0.500
Pb: 0.750 0.250 0.500
O: 0.471 0.262 0.233
O: 0.738 0.238 0.767
O: 0.529 0.738 0.767
O: 0.762 0.971 0.233
O: 0.029 0.529 0.767
O: 0.238 0.029 0.767
O: 0.500 0.500 0.000
O: 0.262 0.762 0.233
O: 0.000 0.000 0.000
O: 0.971 0.471 0.233
Pm: 0.177 0.323 0.000
Pm: 0.823 0.677 0.000
Pm: 0.677 0.177 0.000
Pm: 0.323 0.823 0.000
K: 0.750 0.750 0.500
K: 0.250 0.250 0.500

## Properties
Volume = 301.4 Å³/cell
Formation energy (no corrections) = -19.92 eV/f.u.
Spin magnetization = 0.11 μB/atom
Total DFT energy (no corrections) = -118.03 eV for the cell shown

A plane-wave DFT calculation with PBE-GGA was carried out for a relaxed Ho8TcPd2 crystal.

a b c (Å): 5.760 7.743 7.743
angles (deg): 115.98 100.57 100.57
Fractional coordinates of all 11 atoms:
Ho: 0.990 0.207 0.787
Ho: 0.383 0.673 0.916
Ho: 0.816 0.645 0.645
Ho: 0.171 0.364 0.364
Ho: 0.383 0.916 0.673
Ho: 0.582 0.089 0.330
Ho: 0.990 0.787 0.207
Ho: 0.582 0.330 0.089
Pd: 0.500 0.705 0.312
Pd: 0.500 0.312 0.705
Tc: 0.102 0.006 0.006

## Properties
Energy relative to the elements = -3.00 eV/f.u.
Volume = 291.3 Å³/cell
Polymorph energy (0 for the lowest one) = 79 meV per atom
Spin magnetization = 0.00 μB/atom
Total DFT energy (no corrections) = -60.38 eV for the cell shown